Computed, not measured: an optimized crystal structure of Li2MoP2O6 at the PBE+U level of DFT.

Computed properties:
calculated total energy	-6.41	eV/atom
space-group type	P-3m1 (164)

Lattice parameters (Å, degrees): 5.4985 5.4985 5.1255 90.00 90.00 120.00
Last column: nearest neighbours and their distance in Å.
Element x y z (fractional)
Li: 0.3333 0.6667 0.4135  3 O 2.32, 2 P 2.54-2.58
Li: 0.6667 0.3333 0.5865  3 O 2.32, 2 P 2.54-2.58
Mo: 0.0000 0.0000 0.0000  6 O 2.10
P: 0.3333 0.6667 0.9177  3 O 1.63
P: 0.6667 0.3333 0.0823  3 O 1.63
O: 0.1828 0.3651 0.7686  1 P 1.63
O: 0.1823 0.8172 0.7686  1 P 1.63
O: 0.6349 0.8177 0.7686  1 P 1.63
O: 0.8172 0.6349 0.2314  1 P 1.63
O: 0.8177 0.1828 0.2314  1 P 1.63
O: 0.3651 0.1823 0.2314  1 P 1.63